# 1
## NdDyHgRu (PBE)

Data for NdDyHgRu after structural relaxation.

Results
Polymorph energy (0 for the lowest one) ... 10.4 kJ per mole of atoms

abc: 7.2303 7.2303 7.2303
angles: 90.00 90.00 90.00
Last column: nearest neighbours and their distance in Å.
Space group F-43m (No. 216)
Unique sites:
Nd: 0.0000 0.0000 0.0000 (multiplicity 4)  4 Ru 3.13, 4 Hg 3.13
Dy: 0.0000 0.0000 0.5000 (multiplicity 4)  4 Hg 3.13, 4 Ru 3.13
Hg: 0.2500 0.2500 0.2500 (multiplicity 4)  4 Dy 3.13, 4 Nd 3.13
Ru: 0.2500 0.2500 0.7500 (multiplicity 4)  4 Dy 3.13, 4 Nd 3.13

=====

# 2
## DyYCdPd (PBE)

Data for DyYCdPd after structural relaxation.

Results
Polymorph energy (0 for the lowest one) ... 0.0 kJ per mole of atoms

abc: 3.6045 3.6045 7.3629
angles: 90.00 90.00 90.00
Last column: nearest neighbours and their distance in Å.
Space group P4mm (No. 99)
Unique sites:
Dy: 0.0000 0.0000 0.0000 (multiplicity 1)  4 Pd 3.03, 4 Cd 3.24, 1 Y 3.35
Y: 0.0000 0.0000 0.4550 (multiplicity 1)  4 Pd 3.07, 4 Cd 3.25, 1 Dy 3.35
Cd: 0.5000 0.5000 0.7280 (multiplicity 1)  4 Dy 3.24, 4 Y 3.25, 4 Cd 3.60
Pd: 0.5000 0.5000 0.2221 (multiplicity 1)  4 Dy 3.03, 4 Y 3.07

=====

# 3
## ZrCr2Cd (PBE)

Data for ZrCr2Cd after structural relaxation.

Results
E ... -6.654 eV per atom

abc: 9.3955 3.0615 5.1757
angles: 90.00 103.92 90.00
Last column: nearest neighbours and their distance in Å.
Space group C2/m (No. 12)
Unique sites:
Zr: 0.0000 0.0000 0.0000 (multiplicity 2)  6 Cr 2.83-2.93, 4 Cd 3.01, 2 Zr 3.06
Cr: 0.2488 0.5000 0.2446 (multiplicity 4)  3 Zr 2.83-2.93, 3 Cd 2.86-2.95, 6 Cr 2.96-3.06
Cd: 0.0000 0.5000 0.5000 (multiplicity 2)  6 Cr 2.86-2.95, 4 Zr 3.01, 2 Cd 3.06